First-principles (PBE with a Hubbard U) data for an optimized crystal structure of BiMo3F, as listed in Alexandria via LeMat-Bulk.

E: -4.22 eV/atom
polymorph energy (0 for the lowest one): 0 meV/atom
D(E_F): 2.121 states/eV per cell

Cell: 4.4556 4.4556 4.4556 Å, 90.00 90.00 90.00°
Space group Pm-3m (No. 221)
One atom of each set of equivalent atoms:
Bi 0.0000 0.0000 0.0000 (multiplicity 1)
Mo 0.0000 0.5000 0.5000 (multiplicity 3)
F 0.5000 0.5000 0.5000 (multiplicity 1)